1.
The following is a DFT calculation (GGA-PBE) of a relaxed structure of CaPmNdHo.

Summary:
For the relative energy among the computed polymorphs, the calculation gives 76 meV per atom. As for the total energy: -0.2867 Ry/atom. Its energy of formation from the pure elements is 0.12 eV per atom. The calculation puts the density of states at the Fermi level at 1.659 states/eV/atom. The density comes out at 5857 kg/m³.

a = 5.8302 Å, b = 5.8302 Å, c = 5.8302 Å
α = 60.00°, β = 60.00°, γ = 60.00°
Last column: nearest neighbours and their distance in Å.
Positions (direct):
Ca: 0.2500 0.2500 0.2500  4 Nd 3.57, 4 Pm 3.57
Ho: 0.7500 0.7500 0.7500  4 Nd 3.57, 4 Pm 3.57
Nd: 0.0000 0.0000 0.0000  4 Ho 3.57, 4 Ca 3.57
Pm: 0.5000 0.5000 0.5000  4 Ca 3.57, 4 Ho 3.57

2.
The following is a DFT calculation (GGA-PBE) of a relaxed structure of LaMnBe2.

Summary:
For the relative energy among the computed polymorphs, the calculation gives 583 meV per atom. As for the total energy: -0.3461 Ry/atom. Its energy of formation from the pure elements is 0.68 eV per atom. The calculation puts the density of states at the Fermi level at 1.776 states/eV/atom. The density comes out at 5579 kg/m³.

a = 4.4678 Å, b = 4.4678 Å, c = 4.4678 Å
α = 60.00°, β = 60.00°, γ = 60.00°
Last column: nearest neighbours and their distance in Å.
Positions (direct):
Be: 0.7500 0.7500 0.7500  4 La 2.74, 4 Mn 2.74
La: 0.5000 0.5000 0.5000  8 Be 2.74
Be: 0.2500 0.2500 0.2500  4 La 2.74, 4 Mn 2.74
Mn: 0.0000 0.0000 0.0000  8 Be 2.74

3.
The following is a DFT calculation (GGA-PBE) of a relaxed structure of CrInCl.

Summary:
For the relative energy among the computed polymorphs, the calculation gives 186 meV per atom. The calculation puts the raw formation energy at 140 meV per atom. As for the total energy: -0.3378 Ry/atom. The calculation puts the density of states at the Fermi level at 0.353 states/eV/atom. The density comes out at 5137 kg/m³.

a = 4.5167 Å, b = 4.5167 Å, c = 3.7011 Å
α = 90.00°, β = 90.00°, γ = 120.00°
Last column: nearest neighbours and their distance in Å.
Positions (direct):
Cr: 0.6667 0.3333 0.1666  3 Cl 2.61
In: 0.3333 0.6667 0.6668  6 Cl 3.20, 6 Cr 3.20
Cl: 0.0000 0.0000 0.1665  3 Cr 2.61

4.
The following is a DFT calculation (GGA-PBE) of a relaxed structure of CaZrP.

Summary:
As for the total energy: -0.4571 Ry/atom. Its energy of formation from the pure elements is -0.90 eV per atom. The calculation puts the density of states at the Fermi level at 0.897 states/eV/atom. The density comes out at 3450 kg/m³.

a = 3.7104 Å, b = 3.7104 Å, c = 11.3481 Å
α = 90.00°, β = 90.18°, γ = 90.00°
Last column: nearest neighbours and their distance in Å.
Positions (direct):
P: 0.7516 0.7500 0.6238  5 Zr 2.59-2.63, 1 Ca 2.78
Zr: 0.2513 0.2500 0.6044  5 P 2.59-2.63
Zr: 0.7487 0.7500 0.3956  5 P 2.59-2.63
Ca: 0.7485 0.7500 0.8691  1 P 2.78
Ca: 0.2515 0.2500 0.1309  1 P 2.78
P: 0.2484 0.2500 0.3762  5 Zr 2.59-2.63, 1 Ca 2.78

5.
The following is a DFT calculation (GGA-PBE) of a relaxed structure of UZnCoRu.

Summary:
As for the total energy: -0.5401 Ry/atom. Its energy of formation from the pure elements is -0.11 eV per atom. The calculation puts the density of states at the Fermi level at 1.460 states/eV/atom. The density comes out at 12159 kg/m³.

a = 4.4732 Å, b = 4.4732 Å, c = 4.4732 Å
α = 60.00°, β = 60.00°, γ = 60.00°
Last column: nearest neighbours and their distance in Å.
Positions (direct):
Co: 0.0000 0.0000 0.0000  4 Zn 2.74, 4 U 2.74
Ru: 0.5000 0.5000 0.5000  4 U 2.74, 4 Zn 2.74
U: 0.2500 0.2500 0.2500  4 Co 2.74, 4 Ru 2.74
Zn: 0.7500 0.7500 0.7500  4 Co 2.74, 4 Ru 2.74

6.
The following is a DFT calculation (GGA-PBE) of a relaxed structure of BaLiH8Pt2.

Summary:
As for the total energy: -0.2747 Ry/atom. The calculation puts the density of states at the Fermi level at 0.338 states/eV/atom. The density comes out at 7109 kg/m³.

a = 4.8056 Å, b = 4.8056 Å, c = 6.3360 Å
α = 90.00°, β = 90.00°, γ = 120.00°
Last column: nearest neighbours and their distance in Å.
Positions (direct):
H: 0.3333 0.6667 0.8624  1 Pt 1.75
H: 0.3997 0.0502 0.6378  2 Pt 1.74-1.94
H: 0.3495 0.3997 0.3622  2 Pt 1.74-1.94
Li: 0.0000 0.0000 0.5000  6 H 2.01
Pt: 0.3333 0.6667 0.5861  7 H 1.74-1.94
H: 0.0502 0.6505 0.3622  2 Pt 1.74-1.94
H: 0.9498 0.3495 0.6378  2 Pt 1.74-1.94
Pt: 0.6667 0.3333 0.4139  7 H 1.74-1.94
Ba: 0.0000 0.0000 0.0000  12 H 2.91-2.92, 2 Li 3.17
H: 0.6505 0.6003 0.6378  2 Pt 1.74-1.94
H: 0.6003 0.9498 0.3622  2 Pt 1.74-1.94
H: 0.6667 0.3333 0.1376  1 Pt 1.75

7.
The following is a DFT calculation (GGA-PBE) of a relaxed structure of HfUTi2.

Summary:
For the relative energy among the computed polymorphs, the calculation gives 46 meV per atom. As for the total energy: -0.6632 Ry/atom. Its energy of formation from the pure elements is 0.24 eV per atom. The calculation puts the density of states at the Fermi level at 2.383 states/eV/atom. The density comes out at 10837 kg/m³.

a = 3.4361 Å, b = 4.7795 Å, c = 4.7795 Å
α = 90.00°, β = 90.00°, γ = 90.00°
Last column: nearest neighbours and their distance in Å.
Positions (direct):
U: 0.5000 0.5000 0.5000  8 Ti 2.94
Ti: 0.0000 0.0000 0.5000  4 Hf 2.94, 4 U 2.94
Hf: 0.5000 0.0000 0.0000  8 Ti 2.94
Ti: 0.0000 0.5000 0.0000  4 Hf 2.94, 4 U 2.94

8.
The following is a DFT calculation (GGA-PBE) of a relaxed structure of SbAuO2.

Summary:
The calculation puts the raw formation energy at -4 meV per atom. As for the total energy: -0.3185 Ry/atom. The calculation puts the density of states at the Fermi level at 0.001 states/eV/atom. The density comes out at 10678 kg/m³.

a = 4.2567 Å, b = 4.2567 Å, c = 4.2567 Å
α = 60.00°, β = 60.00°, γ = 60.00°
Last column: nearest neighbours and their distance in Å.
Positions (direct):
Au: 0.5000 0.5000 0.5000  8 O 2.61
Sb: 0.0000 0.0000 0.0000  8 O 2.61
O: 0.7500 0.7500 0.7500  4 Sb 2.61, 4 Au 2.61
O: 0.2500 0.2500 0.2500  4 Au 2.61, 4 Sb 2.61

9.
The following is a DFT calculation (GGA-PBE) of a relaxed structure of Co2TcPt.

Summary:
For the relative energy among the computed polymorphs, the calculation gives 39 meV per atom. As for the total energy: -0.5607 Ry/atom. Its energy of formation from the pure elements is 0.03 eV per atom. The calculation puts the density of states at the Fermi level at 1.126 states/eV/atom. The density comes out at 13004 kg/m³.

a = 4.4764 Å, b = 4.4764 Å, c = 4.6973 Å
α = 80.76°, β = 80.76°, γ = 34.44°
Last column: nearest neighbours and their distance in Å.
Positions (direct):
Tc: 0.2500 0.2500 0.2500  6 Co 2.56-2.58, 2 Tc 2.65, 4 Pt 2.70
Co: 0.9986 0.9986 0.0225  4 Co 2.52-2.65, 3 Tc 2.56-2.58, 3 Pt 2.66
Pt: 0.7500 0.7500 0.7500  2 Pt 2.65, 6 Co 2.66, 4 Tc 2.70
Co: 0.5014 0.5014 0.4775  4 Co 2.52-2.65, 3 Tc 2.56-2.58, 3 Pt 2.66

10.
The following is a DFT calculation (GGA-PBE) of a relaxed structure of Ce3Sb2O.

Summary:
For the relative energy among the computed polymorphs, the calculation gives 94 meV per atom. The calculation puts the raw formation energy at -1445 meV per atom. As for the total energy: -0.4860 Ry/atom. The calculation puts the density of states at the Fermi level at 2.312 states/eV/atom. The density comes out at 7124 kg/m³.

a = 6.3439 Å, b = 6.3439 Å, c = 9.4070 Å
α = 113.75°, β = 113.75°, γ = 78.80°
Last column: nearest neighbours and their distance in Å.
Positions (direct):
O: 0.6628 0.6628 0.3256  3 Ce 2.19-2.21
Ce: 0.4016 0.4016 0.1810  1 O 2.19
Ce: 0.5984 0.5984 0.8190  1 O 2.19
Sb: 0.8024 0.1976 0.0000  1 Sb 3.18, 4 Ce 3.39
Ce: 0.2206 0.2206 0.8190  1 O 2.19
Sb: 0.2500 0.7500 0.5000  8 Ce 3.27-3.31, 4 O 3.47
Ce: 0.8007 0.8007 0.6015  1 O 2.21
Sb: 0.1976 0.8024 0.0000  1 Sb 3.18, 4 Ce 3.39
Ce: 0.7794 0.7794 0.1810  1 O 2.19
Sb: 0.7500 0.2500 0.5000  8 Ce 3.27-3.31, 4 O 3.47
Ce: 0.1993 0.1993 0.3985  1 O 2.21
O: 0.3372 0.3372 0.6744  3 Ce 2.19-2.21

11.
The following is a DFT calculation (GGA-PBE) of a relaxed structure of RbNb4Br7.

Summary:
The calculation puts the raw formation energy at -460 meV per atom. As for the total energy: -0.3582 Ry/atom. The calculation puts the density of states at the Fermi level at 0.362 states/eV/atom. The density comes out at 5037 kg/m³.

a = 5.8502 Å, b = 6.5556 Å, c = 17.4747 Å
α = 90.00°, β = 90.00°, γ = 90.00°
Last column: nearest neighbours and their distance in Å.
Positions (direct):
Nb: 0.8630 0.9294 0.7304  2 Nb 2.67-2.81, 5 Br 2.70-2.88
Br: 0.0905 0.1085 0.5000  2 Nb 2.70
Nb: 0.0852 0.2119 0.3506  4 Br 2.62-2.89, 2 Nb 2.67-2.81
Rb: 0.0231 0.2653 0.0000  9 Br 3.52-3.85
Br: 0.4805 0.7065 0.7081  3 Nb 2.62-2.71
Br: 0.9984 0.6261 0.6197  2 Nb 2.81-2.88
Br: 0.4984 0.3740 0.8803  2 Nb 2.81-2.88
Rb: 0.5233 0.7345 0.5000  9 Br 3.52-3.85
Nb: 0.3629 0.0706 0.2304  2 Nb 2.67-2.81, 5 Br 2.70-2.88
Br: 0.0937 0.8128 0.8614  4 Nb 2.76-2.98
Nb: 0.5853 0.7881 0.8506  4 Br 2.62-2.89, 2 Nb 2.67-2.81
Br: 0.4804 0.7066 0.2919  3 Nb 2.62-2.71
Nb: 0.5852 0.7881 0.1494  4 Br 2.62-2.89, 2 Nb 2.67-2.81
Nb: 0.0853 0.2119 0.6494  4 Br 2.62-2.89, 2 Nb 2.67-2.81
Br: 0.9984 0.6260 0.3802  2 Nb 2.81-2.88
Nb: 0.3630 0.0706 0.7696  2 Nb 2.67-2.81, 5 Br 2.70-2.88
Br: 0.4983 0.3740 0.1197  2 Nb 2.81-2.88
Br: 0.5937 0.1872 0.6386  4 Nb 2.76-2.98
Br: 0.0936 0.8128 0.1386  4 Nb 2.76-2.98
Nb: 0.8629 0.9294 0.2696  2 Nb 2.67-2.81, 5 Br 2.70-2.88
Br: 0.5936 0.1872 0.3614  4 Nb 2.76-2.98
Br: 0.5901 0.8915 0.0000  2 Nb 2.70
Br: 0.9804 0.2935 0.7919  3 Nb 2.62-2.71
Br: 0.9803 0.2935 0.2081  3 Nb 2.62-2.71

12.
The following is a DFT calculation (GGA-PBE) of a relaxed structure of FeRe2Pt.

Summary:
For the relative energy among the computed polymorphs, the calculation gives 8 meV per atom. As for the total energy: -0.7249 Ry/atom. Its energy of formation from the pure elements is -0.01 eV per atom. The calculation puts the density of states at the Fermi level at 0.919 states/eV/atom. The density comes out at 18005 kg/m³.

a = 2.7026 Å, b = 3.8919 Å, c = 5.4656 Å
α = 90.00°, β = 90.00°, γ = 90.00°
Last column: nearest neighbours and their distance in Å.
Positions (direct):
Fe: 0.0000 0.0000 0.4913  6 Re 2.61-2.85, 2 Fe 2.70, 4 Pt 2.73
Pt: 0.5000 0.5000 0.7412  6 Re 2.66-2.80, 2 Pt 2.70, 4 Fe 2.73
Re: 0.5000 0.5000 0.2538  2 Pt 2.66-2.80, 4 Fe 2.70, 6 Re 2.70-2.71
Re: 0.0000 0.0000 0.0137  2 Fe 2.61-2.85, 6 Re 2.70-2.71, 4 Pt 2.80

What did the fifth record say?
The following is a DFT calculation (GGA-PBE) of a relaxed structure of UZnCoRu.

Summary:
As for the total energy: -0.5401 Ry/atom. Its energy of formation from the pure elements is -0.11 eV per atom. The calculation puts the density of states at the Fermi level at 1.460 states/eV/atom. The density comes out at 12159 kg/m³.

a = 4.4732 Å, b = 4.4732 Å, c = 4.4732 Å
α = 60.00°, β = 60.00°, γ = 60.00°
Last column: nearest neighbours and their distance in Å.
Positions (direct):
Co: 0.0000 0.0000 0.0000  4 Zn 2.74, 4 U 2.74
Ru: 0.5000 0.5000 0.5000  4 U 2.74, 4 Zn 2.74
U: 0.2500 0.2500 0.2500  4 Co 2.74, 4 Ru 2.74
Zn: 0.7500 0.7500 0.7500  4 Co 2.74, 4 Ru 2.74

What is the formula in the sixth record? BaLiH8Pt2